Here is SrCoNO after structural relaxation from the Open Quantum Materials Database. Energies are from GGA+U.

Cell and atoms, written as CIF:
```
data_SrCoNO
_cell_length_a 5.229
_cell_length_b 7.612
_cell_length_c 5.226
_cell_angle_alpha 90.00
_cell_angle_beta 90.00
_cell_angle_gamma 90.00
_space_group_name_H-M_alt 'P c a 21'
_space_group_IT_number 29
loop_
_space_group_symop_operation_xyz
'x,y,z'
'-x,-y,z+1/2'
'-x+1/2,y,z+1/2'
'x+1/2,-y,z'
loop_
_atom_site_label
_atom_site_fract_x
_atom_site_fract_y
_atom_site_fract_z
Sr1 0.011 0.174 0.000
Co1 0.018 0.587 0.000
N1 0.234 0.482 0.252
O1 0.013 0.851 0.007
```

Values from the calculation:
energy above the most stable polymorph in this dataset	0	meV/atom
E_tot	-0.2209	hartree per atom